Here is crystalline Ta2TeF at its relaxed geometry from Alexandria via LeMat-Bulk. Energies are from GGA-PBEsol.

Unit cell a=8.979 b=8.979 c=8.979 alpha=152.68 beta=152.68 gamma=39.03
Sites, in units of the cell vectors:
Ta 0.077 0.625 0.952
Ta 0.375 0.327 0.452
Ta 0.673 0.125 0.048
Ta 0.875 0.923 0.548
Te 0.250 0.750 0.500
Te 0.500 0.500 0.000
F 0.000 0.000 0.000
F 0.750 0.250 0.500

Uncorrected formation energy (kJ per mole of atoms): 4.6
Volume (Å³/cell): 152.3
Uncorrected energy (hartree per atom): -0.2790

***

Here is crystalline TaTe3F at its relaxed geometry from Alexandria via LeMat-Bulk. Energies are from GGA-PBEsol.

Unit cell a=5.260 b=5.260 c=5.260 alpha=90.00 beta=90.00 gamma=90.00
Sites, in units of the cell vectors:
Ta 0.000 0.000 0.000
Te 0.000 0.000 0.500
Te 0.000 0.500 0.000
Te 0.500 0.000 0.000
F 0.500 0.500 0.500

Uncorrected formation energy (kJ per mole of atoms): -1.3
Volume (Å³/cell): 145.6
Uncorrected energy (hartree per atom): -0.1847

***

The lowest volume belongs to which entry? TaTe3F